Compound: Sm3Sn5O12
Source: the Alexandria database
Functional: PBE
Structure: optimized geometry

Calculated values
VASP energy, eV/cell: -534.87
Space-group type: Ia-3d (230)
Magnetic moment, Bohr magnetons per cell: 0.00

Cell lengths 11.684, 11.684, 11.684 Å; angles 109.47, 109.47, 109.47 degrees
Element x y z (fractional)
1 Sm 0.125 0.250 0.375
2 Sm 0.125 0.375 0.750
3 Sm 0.250 0.375 0.125
4 Sm 0.250 0.875 0.625
5 Sm 0.375 0.125 0.250
6 Sm 0.375 0.750 0.125
7 Sm 0.625 0.250 0.875
8 Sm 0.625 0.875 0.750
9 Sm 0.750 0.125 0.375
10 Sm 0.750 0.625 0.875
11 Sm 0.875 0.625 0.250
12 Sm 0.875 0.750 0.625
13 Sn 0.000 0.000 0.000
14 Sn 0.000 0.000 0.500
15 Sn 0.000 0.500 0.000
16 Sn 0.000 0.500 0.500
17 Sn 0.125 0.750 0.875
18 Sn 0.125 0.875 0.250
19 Sn 0.250 0.125 0.875
20 Sn 0.250 0.625 0.375
21 Sn 0.375 0.250 0.625
22 Sn 0.375 0.625 0.750
23 Sn 0.500 0.000 0.000
24 Sn 0.500 0.000 0.500
25 Sn 0.500 0.500 0.000
26 Sn 0.500 0.500 0.500
27 Sn 0.625 0.375 0.250
28 Sn 0.625 0.750 0.375
29 Sn 0.750 0.375 0.625
30 Sn 0.750 0.875 0.125
31 Sn 0.875 0.125 0.750
32 Sn 0.875 0.250 0.125
33 O 0.043 0.206 0.128
34 O 0.043 0.337 0.914
35 O 0.077 0.706 0.663
36 O 0.077 0.872 0.414
37 O 0.086 0.628 0.423
38 O 0.086 0.957 0.663
39 O 0.128 0.043 0.206
40 O 0.128 0.586 0.923
41 O 0.163 0.206 0.577
42 O 0.163 0.457 0.586
43 O 0.206 0.128 0.043
44 O 0.206 0.577 0.163
45 O 0.294 0.337 0.923
46 O 0.294 0.457 0.372
47 O 0.337 0.914 0.043
48 O 0.337 0.923 0.294
49 O 0.372 0.294 0.457
50 O 0.372 0.577 0.914
51 O 0.414 0.077 0.872
52 O 0.414 0.837 0.543
53 O 0.423 0.086 0.628
54 O 0.423 0.837 0.794
55 O 0.457 0.372 0.294
56 O 0.457 0.586 0.163
57 O 0.543 0.414 0.837
58 O 0.543 0.628 0.706
59 O 0.577 0.163 0.206
60 O 0.577 0.914 0.372
61 O 0.586 0.163 0.457
62 O 0.586 0.923 0.128
63 O 0.628 0.423 0.086
64 O 0.628 0.706 0.543
65 O 0.663 0.077 0.706
66 O 0.663 0.086 0.957
67 O 0.706 0.543 0.628
68 O 0.706 0.663 0.077
69 O 0.794 0.423 0.837
70 O 0.794 0.872 0.957
71 O 0.837 0.543 0.414
72 O 0.837 0.794 0.423
73 O 0.872 0.414 0.077
74 O 0.872 0.957 0.794
75 O 0.914 0.043 0.337
76 O 0.914 0.372 0.577
77 O 0.923 0.128 0.586
78 O 0.923 0.294 0.337
79 O 0.957 0.663 0.086
80 O 0.957 0.794 0.872